1.
LiPH2O3 | meta-GGA SCAN | PBEsol geometry

Lattice parameters (Å, degrees): 11.0042 4.9892 5.1892 90.00 90.00 90.00
Fractional positions:
Li1 0.0780 0.0204 0.0000
Li2 0.4220 0.5204 0.5000
Li3 0.5780 0.4796 0.0000
Li4 0.9220 0.9796 0.5000
P1 0.1556 0.3177 0.4880
P2 0.3444 0.8177 0.9880
P3 0.6556 0.1823 0.4880
P4 0.8444 0.6823 0.9880
H1 0.1340 0.5793 0.3948
H2 0.1636 0.5191 0.8666
H3 0.3364 0.0191 0.3666
H4 0.3660 0.0793 0.8948
H5 0.6340 0.9207 0.3948
H6 0.6636 0.9809 0.8666
H7 0.8364 0.4809 0.3666
H8 0.8660 0.4207 0.8948
O1 0.0714 0.1164 0.3628
O2 0.1254 0.3360 0.7858
O3 0.2087 0.7619 0.9463
O4 0.2913 0.2619 0.4463
O5 0.3746 0.8360 0.2858
O6 0.4286 0.6164 0.8628
O7 0.5714 0.3836 0.3628
O8 0.6254 0.1640 0.7858
O9 0.7087 0.7381 0.9463
O10 0.7913 0.2381 0.4463
O11 0.8746 0.6640 0.2858
O12 0.9286 0.8836 0.8628

## Properties
Space group = Pna2_1 (33)
M_tot = 0.000 μB/cell

***

2.
LiPHO2 | meta-GGA SCAN | PBEsol geometry

Lattice parameters (Å, degrees): 3.3502 3.3502 4.4076 90.00 90.00 90.00
Fractional positions:
Li1 0.0000 0.0000 0.0000
P1 0.0000 0.0000 0.5000
H1 0.5000 0.5000 0.5000
O1 0.0000 0.5000 0.0000
O2 0.5000 0.0000 0.0000

## Properties
Space group = P4/mmm (123)
M_tot = 1.627 μB/cell

***

3.
LiPH2O2 | meta-GGA SCAN | PBEsol geometry

Lattice parameters (Å, degrees): 5.4127 5.4127 6.3826 106.98 106.98 58.98
Fractional positions:
Li1 0.2503 0.7497 0.0000
Li2 0.7497 0.2503 0.0000
P1 0.1860 0.1860 0.7180
P2 0.8140 0.8140 0.2820
H1 0.0583 0.6381 0.4288
H2 0.3619 0.9417 0.5712
H3 0.6381 0.0583 0.4288
H4 0.9417 0.3619 0.5712
O1 0.0771 0.0771 0.8473
O2 0.3539 0.3539 0.8450
O3 0.6461 0.6461 0.1550
O4 0.9229 0.9229 0.1527

## Properties
Space group = C2/m (12)
M_tot = 0.000 μB/cell

***

4.
Li2P2H2O7 | meta-GGA SCAN | PBEsol geometry

Lattice parameters (Å, degrees): 10.0134 10.0134 10.0134 104.28 104.28 104.28
Fractional positions:
Li1 0.0000 0.3109 0.6891
Li2 0.0000 0.6891 0.3109
Li3 0.2642 0.2642 0.7135
Li4 0.2642 0.7135 0.2642
Li5 0.2865 0.7358 0.7358
Li6 0.3109 0.0000 0.6891
Li7 0.3109 0.6891 0.0000
Li8 0.6891 0.0000 0.3109
Li9 0.6891 0.3109 0.0000
Li10 0.7135 0.2642 0.2642
Li11 0.7358 0.2865 0.7358
Li12 0.7358 0.7358 0.2865
P1 0.0152 0.2021 0.3883
P2 0.0152 0.3883 0.2021
P3 0.2021 0.0152 0.3883
P4 0.2021 0.3883 0.0152
P5 0.3883 0.0152 0.2021
P6 0.3883 0.2021 0.0152
P7 0.6117 0.7979 0.9848
P8 0.6117 0.9848 0.7979
P9 0.7979 0.6117 0.9848
P10 0.7979 0.9848 0.6117
P11 0.9848 0.6117 0.7979
P12 0.9848 0.7979 0.6117
H1 0.2079 0.4693 0.5687
H2 0.2079 0.5687 0.4693
H3 0.4313 0.5307 0.7921
H4 0.4313 0.7921 0.5307
H5 0.4693 0.2079 0.5687
H6 0.4693 0.5687 0.2079
H7 0.5307 0.4313 0.7921
H8 0.5307 0.7921 0.4313
H9 0.5687 0.2079 0.4693
H10 0.5687 0.4693 0.2079
H11 0.7921 0.4313 0.5307
H12 0.7921 0.5307 0.4313
O1 0.0576 0.0576 0.3358
O2 0.0576 0.3358 0.0576
O3 0.0805 0.2958 0.2958
O4 0.0999 0.2833 0.5472
O5 0.0999 0.5472 0.2833
O6 0.1467 0.6606 0.8415
O7 0.1467 0.8415 0.6606
O8 0.1585 0.3394 0.8533
O9 0.1585 0.8533 0.3394
O10 0.2422 0.5716 0.5716
O11 0.2833 0.0999 0.5472
O12 0.2833 0.5472 0.0999
O13 0.2958 0.0805 0.2958
O14 0.2958 0.2958 0.0805
O15 0.3358 0.0576 0.0576
O16 0.3394 0.1585 0.8533
O17 0.3394 0.8533 0.1585
O18 0.4284 0.4284 0.7578
O19 0.4284 0.7578 0.4284
O20 0.4528 0.7167 0.9001
O21 0.4528 0.9001 0.7167
O22 0.5472 0.0999 0.2833
O23 0.5472 0.2833 0.0999
O24 0.5716 0.2422 0.5716
O25 0.5716 0.5716 0.2422
O26 0.6606 0.1467 0.8415
O27 0.6606 0.8415 0.1467
O28 0.6642 0.9424 0.9424
O29 0.7042 0.7042 0.9195
O30 0.7042 0.9195 0.7042
O31 0.7167 0.4528 0.9001
O32 0.7167 0.9001 0.4528
O33 0.7578 0.4284 0.4284
O34 0.8415 0.1467 0.6606
O35 0.8415 0.6606 0.1467
O36 0.8533 0.1585 0.3394
O37 0.8533 0.3394 0.1585
O38 0.9001 0.4528 0.7167
O39 0.9001 0.7167 0.4528
O40 0.9195 0.7042 0.7042
O41 0.9424 0.6642 0.9424
O42 0.9424 0.9424 0.6642

## Properties
Space group = R-3m (166)
M_tot = 0.005 μB/cell

***

5.
LiPH2O4 | meta-GGA SCAN | PBEsol geometry

Lattice parameters (Å, degrees): 6.2713 7.5419 6.8218 90.00 90.00 90.00
Fractional positions:
Li1 0.0183 0.2195 0.0000
Li2 0.4817 0.7195 0.5000
Li3 0.5183 0.2805 0.0000
Li4 0.9817 0.7805 0.5000
P1 0.1956 0.5723 0.1723
P2 0.3044 0.0723 0.6723
P3 0.6956 0.9277 0.1723
P4 0.8044 0.4277 0.6723
H1 0.0089 0.8730 0.0552
H2 0.0197 0.6373 0.8701
H3 0.4803 0.1373 0.3701
H4 0.4911 0.3730 0.5552
H5 0.5089 0.6270 0.0552
H6 0.5197 0.8627 0.8701
H7 0.9803 0.3627 0.3701
H8 0.9911 0.1270 0.5552
O1 0.0709 0.4000 0.1996
O2 0.0767 0.0143 0.5918
O3 0.0918 0.6901 0.0070
O4 0.2195 0.6859 0.3528
O5 0.2805 0.1859 0.8528
O6 0.4082 0.1901 0.5070
O7 0.4233 0.5143 0.0918
O8 0.4291 0.9000 0.6996
O9 0.5709 0.1000 0.1996
O10 0.5767 0.4857 0.5918
O11 0.5918 0.8099 0.0070
O12 0.7195 0.8141 0.3528
O13 0.7805 0.3141 0.8528
O14 0.9082 0.3099 0.5070
O15 0.9233 0.9857 0.0918
O16 0.9291 0.6000 0.6996

## Properties
Space group = Pna2_1 (33)
M_tot = 0.000 μB/cell

***

6.
LiSbPHO5 | meta-GGA SCAN | PBEsol geometry

Lattice parameters (Å, degrees): 5.2185 5.7855 7.8178 105.53 106.79 98.48
Fractional positions:
Li1 0.2337 0.3998 0.3358
Li2 0.7663 0.6002 0.6642
Sb1 0.5000 0.0000 0.0000
Sb2 0.5000 0.0000 0.5000
P1 0.1778 0.3734 0.7225
P2 0.8222 0.6266 0.2775
H1 0.1025 0.9528 0.1773
H2 0.8975 0.0472 0.8227
O1 0.1078 0.7236 0.4397
O2 0.1774 0.6364 0.8376
O3 0.2083 0.1994 0.8434
O4 0.2919 0.0691 0.2240
O5 0.4076 0.3793 0.6322
O6 0.5924 0.6207 0.3678
O7 0.7081 0.9309 0.7760
O8 0.7917 0.8006 0.1566
O9 0.8226 0.3636 0.1624
O10 0.8922 0.2764 0.5603

## Properties
Space group = P-1 (2)
M_tot = 0.000 μB/cell

***

7.
LiSnPHO5 | meta-GGA SCAN | PBEsol geometry

Lattice parameters (Å, degrees): 5.0769 5.8044 8.1011 107.19 106.60 97.29
Fractional positions:
Li1 0.2477 0.3960 0.3404
Li2 0.7523 0.6040 0.6596
Sn1 0.5000 0.0000 0.0000
Sn2 0.5000 0.0000 0.5000
P1 0.1530 0.3536 0.7117
P2 0.8470 0.6464 0.2883
H1 0.1221 0.9549 0.2090
H2 0.8779 0.0451 0.7910
O1 0.1308 0.7610 0.4579
O2 0.1448 0.6223 0.8016
O3 0.1780 0.2024 0.8391
O4 0.3239 0.0642 0.2634
O5 0.3984 0.3418 0.6273
O6 0.6016 0.6582 0.3727
O7 0.6761 0.9358 0.7366
O8 0.8220 0.7976 0.1609
O9 0.8552 0.3777 0.1984
O10 0.8692 0.2390 0.5421

## Properties
Space group = P-1 (2)
M_tot = 0.000 μB/cell

***

8.
Li4Sn2P4H3O16 | meta-GGA SCAN | PBEsol geometry

Lattice parameters (Å, degrees): 4.8014 8.0341 8.8493 90.10 91.04 102.02
Fractional positions:
Li1 0.0000 0.0000 0.0000
Li2 0.2048 0.3570 0.3014
Li3 0.4855 0.5151 0.7993
Li4 0.7573 0.8334 0.5173
Sn1 0.0977 0.1815 0.6543
Sn2 0.6077 0.6779 0.1598
P1 0.2857 0.9694 0.3269
P2 0.4763 0.9050 0.7917
P3 0.7210 0.4592 0.5082
P4 0.9659 0.3969 0.9965
H1 0.1535 0.6864 0.6604
H2 0.6386 0.2026 0.3584
H3 0.6852 0.1889 0.1288
O1 0.0988 0.9170 0.1884
O2 0.1136 0.0001 0.4673
O3 0.1280 0.3666 0.8544
O4 0.1639 0.4897 0.1232
O5 0.2386 0.0068 0.8174
O6 0.3419 0.7203 0.7279
O7 0.4753 0.1568 0.2842
O8 0.4868 0.8510 0.3628
O9 0.5182 0.3667 0.6316
O10 0.5493 0.4948 0.3684
O11 0.6291 0.8767 0.9378
O12 0.6802 0.9951 0.6692
O13 0.7178 0.4825 0.9655
O14 0.8514 0.2071 0.0589
O15 0.8971 0.6262 0.5726
O16 0.9068 0.3280 0.4571

## Properties
Space group = P1 (1)
M_tot = 1.000 μB/cell

***

| no. | calculated volume (Å³ per cell) | E (eV per formula unit) |
| --- | --- | --- |
| 1 | 285 | -51.1 |
| 2 | 49 | -24.6 |
| 3 | 151 | -41.3 |
| 4 | 891 | -104.5 |
| 5 | 323 | -60.6 |
| 6 | 211 | -101.8 |
| 7 | 213 | -101.4 |
| 8 | 334 | -294.2 |